An optimized crystal structure of CrAg2O2. Source: Alexandria via LeMat-Bulk, functional GGA+U.

## Properties
Polymorph energy (0 for the lowest one) in meV per atom: 0
Volume in A^3/atom: 14.26
Space group: P4/mbm (127)
Total magnetic moment in μB per formula unit: 3.7
Fermi-level density of states in states/eV/atom: 0.801
E in hartree per atom: -0.1899

```
10
Lattice="5.735 0.000 0.000 0.000 5.735 0.000 0.000 0.000 4.337" Properties=species:S:1:pos:R:3 pbc="T T T"
Cr 0.000 0.000 0.000
Cr 2.867 2.867 0.000
Ag 1.014 1.854 2.168
Ag 1.854 4.721 2.168
Ag 3.881 1.014 2.168
Ag 4.721 3.881 2.168
O 1.239 1.628 0.000
O 1.628 4.496 0.000
O 4.107 1.239 0.000
O 4.496 4.107 0.000
```